(1)
Entry from Alexandria: a relaxed structure of DyMgScOs (PBE-GGA).

Properties
Offset from the most stable computed form   0.0 meV per atom
Final energy   -24.8 eV for the cell shown
Calculated volume   88 Å³/f.u.
Formation enthalpy at 0 K   -25 kJ/mol of atoms

Cell lengths 3.354, 3.354, 7.848 Å; angles 90.00, 90.00, 90.00 degrees
Space group P4mm (No. 99)
Unique sites:
Dy (0.000, 0.000, 0.000) x1
Mg (0.500, 0.500, 0.319) x1
Sc (0.000, 0.000, 0.595) x1
Os (0.500, 0.500, 0.779) x1


(2)
Entry from Alexandria: a relaxed structure of SmDyMgOs (PBE-GGA).

Properties
Offset from the most stable computed form   0.0 meV per atom
Final energy   -22.7 eV for the cell shown
Calculated volume   101 Å³/f.u.
Formation enthalpy at 0 K   -14 kJ/mol of atoms

Cell lengths 3.419, 3.419, 8.640 Å; angles 90.00, 90.00, 90.00 degrees
Space group P4mm (No. 99)
Unique sites:
Sm (0.000, 0.000, 0.000) x1
Dy (0.000, 0.000, 0.609) x1
Mg (0.500, 0.500, 0.310) x1
Os (0.500, 0.500, 0.799) x1


(3)
Entry from Alexandria: a relaxed structure of SmDyMgOs (PBE-GGA).

Properties
Offset from the most stable computed form   54.8 meV per atom
Final energy   -90.1 eV for the cell shown
Calculated volume   91 Å³/f.u.
Formation enthalpy at 0 K   -9 kJ/mol of atoms

Cell lengths 7.134, 7.134, 7.134 Å; angles 90.00, 90.00, 90.00 degrees
Space group F-43m (No. 216)
Unique sites:
Sm (0.000, 0.000, 0.000) x4
Dy (0.000, 0.000, 0.500) x4
Mg (0.250, 0.250, 0.750) x4
Os (0.250, 0.250, 0.250) x4